Entry 1:
TbAg2Hg2: relaxed, PBE.

## Properties
- formation enthalpy at 0 K (eV per atom) = -0.222
- volume (A^3/atom) = 21.82
- total energy (eV per atom) = -2.409
- relative energy among the computed polymorphs (eV/f.u.) = 0.00
- magnetic moment (μB/cell) = 0.00

Unit cell a=5.0454 b=5.6491 c=8.5159 alpha=64.02 beta=90.00 gamma=90.00
Element x y z (fractional)
Tb 0.7500 0.0422 0.7154
Tb 0.2500 0.9578 0.2846
Ag 0.7500 0.4278 0.9303
Ag 0.2500 0.7288 0.6952
Ag 0.2500 0.5722 0.0697
Ag 0.7500 0.2712 0.3048
Hg 0.2500 0.3277 0.4763
Hg 0.7500 0.8264 0.1185
Hg 0.2500 0.1736 0.8815
Hg 0.7500 0.6723 0.5237

Entry 2:
TbAgHg: relaxed, PBE.

## Properties
- formation enthalpy at 0 K (eV per atom) = -0.182
- volume (A^3/atom) = 26.18
- total energy (eV per atom) = -2.776
- magnetic moment (μB/cell) = 0.00

Unit cell a=4.8067 b=4.8067 c=4.8067 alpha=60.00 beta=60.00 gamma=60.00
Element x y z (fractional)
Tb 0.0000 0.0000 0.0000
Hg 0.5000 0.5000 0.5000
Ag 0.2500 0.2500 0.2500

Entry 3:
Tb4Ag3Hg: relaxed, PBE.

## Properties
- formation enthalpy at 0 K (eV per atom) = -0.355
- volume (A^3/atom) = 24.78
- total energy (eV per atom) = -3.777
- relative energy among the computed polymorphs (eV/f.u.) = 0.00
- magnetic moment (μB/cell) = 0.00

Unit cell a=3.6652 b=3.6652 c=14.7551 alpha=90.00 beta=90.00 gamma=90.00
Element x y z (fractional)
Tb 0.0000 0.0000 0.8716
Tb 0.0000 0.0000 0.1284
Tb 0.0000 0.0000 0.3753
Tb 0.0000 0.0000 0.6247
Hg 0.5000 0.5000 0.0000
Ag 0.5000 0.5000 0.2523
Ag 0.5000 0.5000 0.5000
Ag 0.5000 0.5000 0.7477

Entry 4:
TbAgHg3: relaxed, PBE.

## Properties
- formation enthalpy at 0 K (eV per atom) = -0.191
- volume (A^3/atom) = 23.53
- total energy (eV per atom) = -1.869
- relative energy among the computed polymorphs (eV/f.u.) = 0.28
- magnetic moment (μB/cell) = 0.00

Unit cell a=6.5511 b=5.2464 c=9.9653 alpha=105.26 beta=132.63 gamma=90.00
Element x y z (fractional)
Tb 0.0465 0.3872 0.7745
Tb 0.9535 0.6128 0.2255
Ag 0.3810 0.1934 0.3867
Ag 0.6190 0.8066 0.6133
Hg 0.7525 0.9956 0.9911
Hg 0.2475 0.0044 0.0089
Hg 0.4463 0.6173 0.2347
Hg 0.5537 0.3827 0.7653
Hg 0.1155 0.8114 0.6228
Hg 0.8845 0.1886 0.3772

Entry 5:
TbAg3Hg3: relaxed, PBE.

## Properties
- formation enthalpy at 0 K (eV per atom) = 0.513
- volume (A^3/atom) = 30.81
- total energy (eV per atom) = -1.500
- magnetic moment (μB/cell) = 0.00

Unit cell a=7.5558 b=7.5558 c=7.5558 alpha=90.00 beta=90.00 gamma=90.00
Element x y z (fractional)
Tb 0.5000 0.5000 0.5000
Tb 0.0000 0.0000 0.0000
Hg 0.2500 0.0000 0.5000
Hg 0.0000 0.5000 0.2500
Hg 0.5000 0.7500 0.0000
Hg 0.7500 0.0000 0.5000
Hg 0.0000 0.5000 0.7500
Hg 0.5000 0.2500 0.0000
Ag 0.0000 0.2500 0.5000
Ag 0.0000 0.7500 0.5000
Ag 0.5000 0.0000 0.7500
Ag 0.7500 0.5000 0.0000
Ag 0.5000 0.0000 0.2500
Ag 0.2500 0.5000 0.0000

Entry 6:
Tb4AgHg3: relaxed, PBE.

## Properties
- formation enthalpy at 0 K (eV per atom) = -0.439
- volume (A^3/atom) = 25.62
- total energy (eV per atom) = -3.224
- relative energy among the computed polymorphs (eV/f.u.) = 0.00
- magnetic moment (μB/cell) = 0.01

Unit cell a=5.2565 b=5.2566 c=8.2991 alpha=108.52 beta=108.46 gamma=90.00
Element x y z (fractional)
Tb 0.3767 0.3766 0.7533
Tb 0.6233 0.6234 0.2467
Tb 0.1233 0.1234 0.2467
Tb 0.8767 0.8766 0.7533
Hg 0.0000 0.5000 0.0000
Hg 0.7502 0.2501 0.5003
Hg 0.2498 0.7499 0.4997
Ag 0.5000 0.0000 0.0000

Entry 7:
Tb12Ag2Hg5: relaxed, PBE.

## Properties
- formation enthalpy at 0 K (eV per atom) = -0.208
- volume (A^3/atom) = 27.80
- total energy (eV per atom) = -3.512
- magnetic moment (μB/cell) = 0.00

Unit cell a=10.3423 b=8.1797 c=8.1862 alpha=82.12 beta=90.00 gamma=129.21
Element x y z (fractional)
Tb 0.9004 0.8009 0.1529
Tb 0.0106 0.6776 0.8103
Tb 0.6669 0.6776 0.8103
Tb 0.1736 0.7889 0.3927
Tb 0.6153 0.7889 0.3927
Tb 0.3989 0.7978 0.7402
Tb 0.6011 0.2022 0.2598
Tb 0.8264 0.2111 0.6073
Tb 0.3847 0.2111 0.6073
Tb 0.9894 0.3224 0.1897
Tb 0.3331 0.3224 0.1897
Tb 0.0996 0.1991 0.8471
Ag 0.7287 0.0000 0.0000
Ag 0.2713 0.0000 0.0000
Hg 0.2345 0.4689 0.5007
Hg 0.3656 0.7313 0.1195
Hg 0.0000 0.0000 0.5000
Hg 0.6344 0.2687 0.8805
Hg 0.7655 0.5311 0.4993

Entry 8:
TbAgHg6: relaxed, PBE.

## Properties
- formation enthalpy at 0 K (eV per atom) = -0.116
- volume (A^3/atom) = 24.12
- total energy (eV per atom) = -1.277
- relative energy among the computed polymorphs (eV/f.u.) = 0.00
- magnetic moment (μB/cell) = 0.00

Unit cell a=4.9734 b=6.5244 c=6.5244 alpha=114.27 beta=90.00 gamma=90.00
Element x y z (fractional)
Tb 0.0000 0.1167 0.8833
Ag 0.5000 0.3431 0.6569
Hg 0.0000 0.1237 0.3910
Hg 0.0000 0.6090 0.8763
Hg 0.0000 0.6066 0.3934
Hg 0.5000 0.4188 0.1344
Hg 0.5000 0.8656 0.5812
Hg 0.5000 0.9161 0.0839

Entry 9:
TbAg2Hg: relaxed, PBE.

## Properties
- formation enthalpy at 0 K (eV per atom) = -0.164
- volume (A^3/atom) = 22.51
- total energy (eV per atom) = -2.822
- magnetic moment (μB/cell) = 0.00

Unit cell a=4.4162 b=4.5155 c=4.5155 alpha=90.00 beta=90.00 gamma=90.00
Element x y z (fractional)
Tb 0.5000 0.0000 0.0000
Hg 0.5000 0.5000 0.5000
Ag 0.0000 0.0000 0.5000
Ag 0.0000 0.5000 0.0000

Entry 10:
Tb4Ag2Hg5: relaxed, PBE.

## Properties
- formation enthalpy at 0 K (eV per atom) = -0.351
- volume (A^3/atom) = 24.83
- total energy (eV per atom) = -2.690
- magnetic moment (μB/cell) = 0.00

Unit cell a=3.5564 b=7.7657 c=9.9295 alpha=95.06 beta=90.00 gamma=90.00
Element x y z (fractional)
Tb 0.5000 0.7410 0.5675
Tb 0.5000 0.1815 0.8766
Tb 0.5000 0.2590 0.4325
Tb 0.5000 0.8185 0.1234
Ag 0.0000 0.0685 0.6337
Ag 0.0000 0.9315 0.3663
Hg 0.0000 0.5548 0.3133
Hg 0.0000 0.1693 0.1515
Hg 0.0000 0.5000 0.0000
Hg 0.0000 0.8307 0.8485
Hg 0.0000 0.4452 0.6867

Entry 11:
Tb11Ag4Hg9: relaxed, PBE.

## Properties
- formation enthalpy at 0 K (eV per atom) = -0.405
- volume (A^3/atom) = 25.25
- total energy (eV per atom) = -3.116
- magnetic moment (μB/cell) = 0.00

Unit cell a=3.7494 b=13.2207 c=13.2207 alpha=112.39 beta=90.00 gamma=90.00
Element x y z (fractional)
Tb 0.0000 0.5866 0.9300
Tb 0.0000 0.4134 0.0700
Tb 0.0000 0.9300 0.5866
Tb 0.0000 0.0700 0.4134
Tb 0.0000 0.6420 0.3580
Tb 0.0000 0.3580 0.6420
Tb 0.0000 0.8311 0.1689
Tb 0.0000 0.1689 0.8311
Tb 0.0000 0.0000 0.0000
Tb 0.0000 0.7280 0.7280
Tb 0.0000 0.2720 0.2720
Ag 0.5000 0.5522 0.7411
Ag 0.5000 0.4478 0.2589
Ag 0.5000 0.7411 0.5522
Ag 0.5000 0.2589 0.4478
Hg 0.5000 0.6282 0.1506
Hg 0.5000 0.3718 0.8494
Hg 0.5000 0.1506 0.6282
Hg 0.5000 0.8494 0.3718
Hg 0.5000 0.7892 0.9458
Hg 0.5000 0.2108 0.0542
Hg 0.5000 0.9458 0.7892
Hg 0.5000 0.0542 0.2108
Hg 0.5000 0.5000 0.5000

Entry 12:
Tb3AgHg: relaxed, PBE.

## Properties
- formation enthalpy at 0 K (eV per atom) = -0.203
- volume (A^3/atom) = 27.88
- total energy (eV per atom) = -3.612
- relative energy among the computed polymorphs (eV/f.u.) = 0.48
- magnetic moment (μB/cell) = 0.00

Unit cell a=3.6422 b=10.4782 c=8.4209 alpha=60.17 beta=89.99 gamma=89.99
Element x y z (fractional)
Tb 0.8629 0.3710 0.8317
Tb 0.8632 0.9770 0.6723
Tb 0.8633 0.5989 0.0403
Tb 0.3637 0.0223 0.2362
Tb 0.8634 0.6825 0.4048
Tb 0.3634 0.3707 0.4555
Ag 0.3631 0.8202 0.0529
Ag 0.3626 0.1285 0.8344
Hg 0.3633 0.7187 0.6827
Hg 0.8636 0.2518 0.2537

Entry 13:
Tb6AgHg: relaxed, PBE.

## Properties
- formation enthalpy at 0 K (eV per atom) = -0.182
- volume (A^3/atom) = 28.79
- total energy (eV per atom) = -4.048
- magnetic moment (μB/cell) = 0.00

Unit cell a=5.0941 b=5.0941 c=9.5799 alpha=74.56 beta=74.56 gamma=90.00
Element x y z (fractional)
Tb 0.7496 0.7496 0.5008
Tb 0.6098 0.1098 0.7804
Tb 0.1098 0.6098 0.7804
Tb 0.3902 0.8902 0.2196
Tb 0.2504 0.2504 0.4992
Tb 0.8902 0.3902 0.2196
Ag 0.0000 0.0000 0.0000
Hg 0.5000 0.5000 0.0000

Entry 14:
Tb6AgHg5: relaxed, PBE.

## Properties
- formation enthalpy at 0 K (eV per atom) = -0.451
- volume (A^3/atom) = 25.78
- total energy (eV per atom) = -3.129
- magnetic moment (μB/cell) = 0.00

Unit cell a=5.2456 b=7.4871 c=8.3014 alpha=90.00 beta=71.58 gamma=90.00
Element x y z (fractional)
Tb 0.8345 0.7518 0.3311
Tb 0.8345 0.2482 0.3311
Tb 0.5000 0.2475 0.0000
Tb 0.5000 0.7525 0.0000
Tb 0.1655 0.7518 0.6689
Tb 0.1655 0.2482 0.6689
Hg 0.6666 0.5000 0.6668
Hg 0.3340 0.0000 0.3321
Hg 0.0000 0.5000 0.0000
Hg 0.6660 0.0000 0.6679
Hg 0.3334 0.5000 0.3332
Ag 0.0000 0.0000 0.0000

Entry 15:
Tb4Ag3Hg: relaxed, PBE.

## Properties
- formation enthalpy at 0 K (eV per atom) = -0.317
- volume (A^3/atom) = 25.41
- total energy (eV per atom) = -3.739
- relative energy among the computed polymorphs (eV/f.u.) = 0.30
- magnetic moment (μB/cell) = 0.00

Unit cell a=3.6958 b=4.8644 c=11.3091 alpha=90.00 beta=90.00 gamma=90.00
Element x y z (fractional)
Tb 0.5000 0.5000 0.3602
Tb 0.0000 0.5000 0.8499
Tb 0.0000 0.0000 0.1478
Tb 0.5000 0.0000 0.6417
Ag 0.0000 0.5000 0.5791
Ag 0.0000 0.0000 0.4221
Ag 0.5000 0.0000 0.9170
Hg 0.5000 0.5000 0.0822

Entry 16:
Tb2AgHg5: relaxed, PBE.

## Properties
- formation enthalpy at 0 K (eV per atom) = -0.237
- volume (A^3/atom) = 23.84
- total energy (eV per atom) = -1.939
- relative energy among the computed polymorphs (eV/f.u.) = 0.00
- magnetic moment (μB/cell) = 0.44

Unit cell a=5.1852 b=5.1852 c=7.9850 alpha=108.95 beta=108.95 gamma=90.00
Element x y z (fractional)
Tb 0.7484 0.7484 0.4967
Tb 0.2516 0.2516 0.5033
Ag 0.0000 0.0000 0.0000
Hg 0.5000 0.5000 0.0000
Hg 0.8804 0.3804 0.7608
Hg 0.3804 0.8804 0.7608
Hg 0.1196 0.6196 0.2392
Hg 0.6196 0.1196 0.2392

Entry 17:
Tb3Ag2Hg4: relaxed, PBE.

## Properties
- formation enthalpy at 0 K (eV per atom) = -0.376
- volume (A^3/atom) = 23.79
- total energy (eV per atom) = -2.687
- magnetic moment (μB/cell) = 0.00

Unit cell a=5.1803 b=5.2836 c=9.0553 alpha=96.67 beta=90.00 gamma=119.36
Element x y z (fractional)
Tb 0.6287 0.2573 0.7236
Tb 0.0000 0.0000 0.0000
Tb 0.3713 0.7427 0.2764
Ag 0.7193 0.4386 0.4016
Ag 0.2807 0.5614 0.5984
Hg 0.6789 0.3579 0.0781
Hg 0.3211 0.6421 0.9219
Hg 0.9520 0.9040 0.6544
Hg 0.0480 0.0960 0.3456

Entry 18:
Tb8Ag2Hg: relaxed, PBE.

## Properties
- formation enthalpy at 0 K (eV per atom) = -0.163
- volume (A^3/atom) = 28.67
- total energy (eV per atom) = -4.076
- magnetic moment (μB/cell) = 0.00

Unit cell a=5.2085 b=7.0606 c=9.3524 alpha=106.58 beta=106.17 gamma=90.00
Element x y z (fractional)
Tb 0.4072 0.5365 0.8145
Tb 0.6700 0.9771 0.3401
Tb 0.8026 0.6825 0.6053
Tb 0.9718 0.2302 0.9436
Tb 0.1974 0.3175 0.3947
Tb 0.3300 0.0229 0.6599
Tb 0.5928 0.4635 0.1855
Tb 0.0282 0.7698 0.0564
Ag 0.8170 0.2830 0.6340
Ag 0.1830 0.7170 0.3660
Hg 0.5000 0.0000 0.0000

Entry 19:
Tb3Ag2Hg: relaxed, PBE.

## Properties
- formation enthalpy at 0 K (eV per atom) = -0.370
- volume (A^3/atom) = 24.91
- total energy (eV per atom) = -3.686
- relative energy among the computed polymorphs (eV/f.u.) = 0.03
- magnetic moment (μB/cell) = 0.00

Unit cell a=3.6834 b=3.6834 c=11.0141 alpha=90.00 beta=90.00 gamma=90.00
Element x y z (fractional)
Tb 0.0000 0.0000 0.0000
Tb 0.0000 0.0000 0.6710
Tb 0.0000 0.0000 0.3290
Ag 0.5000 0.5000 0.8352
Ag 0.5000 0.5000 0.1648
Hg 0.5000 0.5000 0.5000

Entry 20:
TbAg2Hg5: relaxed, PBE.

## Properties
- formation enthalpy at 0 K (eV per atom) = -0.068
- volume (A^3/atom) = 23.64
- total energy (eV per atom) = -1.548
- magnetic moment (μB/cell) = 0.00

Unit cell a=7.6774 b=7.6774 c=8.4051 alpha=117.17 beta=117.17 gamma=90.00
Element x y z (fractional)
Tb 0.7500 0.7500 0.5000
Tb 0.2500 0.2500 0.5000
Ag 0.1397 0.3603 0.0000
Ag 0.6397 0.1398 0.0000
Ag 0.3602 0.8603 0.0000
Ag 0.8602 0.6398 0.0000
Hg 0.4978 0.6958 0.6936
Hg 0.8042 0.0022 0.3064
Hg 0.0000 0.0000 0.0000
Hg 0.5000 0.5000 0.0000
Hg 0.1958 0.9978 0.6936
Hg 0.6958 0.1958 0.6936
Hg 0.9978 0.4978 0.6936
Hg 0.3042 0.8042 0.3064
Hg 0.0022 0.5022 0.3064
Hg 0.5022 0.3042 0.3064

Entry 21:
TbAg9Hg2: relaxed, PBE.

## Properties
- formation enthalpy at 0 K (eV per atom) = 0.003
- volume (A^3/atom) = 20.74
- total energy (eV per atom) = -2.572
- magnetic moment (μB/cell) = 0.00

Unit cell a=5.6436 b=5.6436 c=9.5941 alpha=72.90 beta=72.90 gamma=60.00
Element x y z (fractional)
Tb 0.0000 0.0000 0.0000
Ag 0.6665 0.6665 0.0006
Ag 0.3335 0.3335 0.9994
Ag 0.5000 0.5000 0.5000
Ag 0.4133 0.4133 0.2542
Ag 0.9192 0.4133 0.2542
Ag 0.4133 0.9192 0.2542
Ag 0.5867 0.5867 0.7458
Ag 0.5867 0.0808 0.7458
Ag 0.0808 0.5867 0.7458
Hg 0.8637 0.8637 0.4088
Hg 0.1363 0.1363 0.5912

Entry 22:
Tb5Ag4Hg: relaxed, PBE.

## Properties
- formation enthalpy at 0 K (eV per atom) = -0.350
- volume (A^3/atom) = 24.68
- total energy (eV per atom) = -3.836
- magnetic moment (μB/cell) = 0.00

Unit cell a=3.6625 b=3.6625 c=18.3967 alpha=90.00 beta=90.00 gamma=90.00
Element x y z (fractional)
Tb 0.5000 0.5000 0.1033
Tb 0.5000 0.5000 0.3014
Tb 0.5000 0.5000 0.5000
Tb 0.5000 0.5000 0.6986
Tb 0.5000 0.5000 0.8967
Ag 0.0000 0.0000 0.2027
Ag 0.0000 0.0000 0.4011
Ag 0.0000 0.0000 0.5989
Ag 0.0000 0.0000 0.7973
Hg 0.0000 0.0000 0.0000